(1)
# DyPa4P6 (PBE-GGA, optimized geometry)
data_DyPa4P6
_chemical_formula_sum 'Dy6 Pa24 P36'
_space_group_name_H-M_alt 'R -3 c'
_space_group_IT_number 167
_space_group_name_Hall '-R 3 2"c'
_cell_length_a 10.9115
_cell_length_b 10.9115
_cell_length_c 13.5793
_cell_angle_alpha 90.00
_cell_angle_beta 90.00
_cell_angle_gamma 120.00
loop_
_atom_site_label
_atom_site_type_symbol
_atom_site_fract_x
_atom_site_fract_y
_atom_site_fract_z
_atom_site_occupancy
Dy1 Dy 0.0000 0.0000 0.0000 1
Pa1 Pa 0.0000 0.0000 0.2500 1
Pa2 Pa 0.0000 0.3855 0.2500 1
P1 P 0.0296 0.2106 0.3840 1
# N(E_F), states/eV/cell: 74.2
# V, Å³ per atom: 21.2
# Energy of formation from the pure elements, meV/atom: -1079

=====

(2)
# DyPaP (PBE-GGA, optimized geometry)
data_DyPaP
_chemical_formula_sum 'Dy1 Pa1 P1'
_space_group_name_H-M_alt 'P 3 m 1'
_space_group_IT_number 156
_cell_length_a 3.7346
_cell_length_b 3.7346
_cell_length_c 6.4639
_cell_angle_alpha 90.00
_cell_angle_beta 90.00
_cell_angle_gamma 120.00
loop_
_space_group_symop_operation_xyz
'x,y,z'
'-y,x-y,z'
'-x+y,-x,z'
'-y,-x,z'
'-x+y,y,z'
'x,x-y,z'
loop_
_atom_site_label
_atom_site_type_symbol
_atom_site_fract_x
_atom_site_fract_y
_atom_site_fract_z
_atom_site_occupancy
Dy1 Dy 0.0000 0.0000 0.0000 1
Pa1 Pa 0.6667 0.3333 0.5281 1
P1 P 0.3333 0.6667 0.2632 1
# N(E_F), states/eV/cell: 4.1
# V, Å³ per atom: 26.0
# Energy of formation from the pure elements, meV/atom: -636
# Excess energy over the best structure of this formula in the dataset, meV per atom: 0

=====

(3)
# DyPa4P5 (PBE-GGA, optimized geometry)
data_DyPa4P5
_chemical_formula_sum 'Dy2 Pa8 P10'
_space_group_name_H-M_alt 'I 4/m'
_space_group_IT_number 87
_space_group_name_Hall '-I 4'
_cell_length_a 8.8817
_cell_length_b 8.8817
_cell_length_c 5.6151
_cell_angle_alpha 90.00
_cell_angle_beta 90.00
_cell_angle_gamma 90.00
loop_
_atom_site_label
_atom_site_type_symbol
_atom_site_fract_x
_atom_site_fract_y
_atom_site_fract_z
_atom_site_occupancy
Dy1 Dy 0.0000 0.0000 0.0000 1
Pa1 Pa 0.1009 0.2993 0.5000 1
P1 P 0.0000 0.0000 0.5000 1
P2 P 0.1001 0.3005 0.0000 1
# N(E_F), states/eV/cell: 20.4
# V, Å³ per atom: 22.1
# Energy of formation from the pure elements, meV/atom: -1379

=====

(4)
# DyPa2P3 (PBE-GGA, optimized geometry)
data_DyPa2P3
_chemical_formula_sum 'Dy4 Pa8 P12'
_space_group_name_H-M_alt 'P n m a'
_space_group_IT_number 62
_cell_length_a 7.9538
_cell_length_b 5.6247
_cell_length_c 11.9050
_cell_angle_alpha 90.00
_cell_angle_beta 90.00
_cell_angle_gamma 90.00
loop_
_space_group_symop_operation_xyz
'x,y,z'
'-x,-y,-z'
'-x+1/2,-y,z+1/2'
'x+1/2,y,-z+1/2'
'x+1/2,-y+1/2,-z+1/2'
'-x+1/2,y+1/2,z+1/2'
'-x,y+1/2,-z'
'x,-y+1/2,z'
loop_
_atom_site_label
_atom_site_type_symbol
_atom_site_fract_x
_atom_site_fract_y
_atom_site_fract_z
_atom_site_occupancy
Dy1 Dy 0.1236 0.2500 0.0811 1
Pa1 Pa 0.1244 0.2500 0.4166 1
Pa2 Pa 0.1246 0.2500 0.7507 1
P1 P 0.1250 0.7500 0.4162 1
P2 P 0.1255 0.7500 0.7504 1
P3 P 0.1275 0.7500 0.0846 1
# N(E_F), states/eV/cell: 25.9
# V, Å³ per atom: 22.2
# Energy of formation from the pure elements, meV/atom: -1416

=====

(5)
# Dy3Pa5P8 (PBE-GGA, optimized geometry)
data_Dy3Pa5P8
_chemical_formula_sum 'Dy9 Pa15 P24'
_space_group_name_H-M_alt 'R -3 m'
_space_group_IT_number 166
_space_group_name_Hall '-R 3 2"'
_cell_length_a 7.9465
_cell_length_b 7.9465
_cell_length_c 19.4907
_cell_angle_alpha 90.00
_cell_angle_beta 90.00
_cell_angle_gamma 120.00
loop_
_atom_site_label
_atom_site_type_symbol
_atom_site_fract_x
_atom_site_fract_y
_atom_site_fract_z
_atom_site_occupancy
Dy1 Dy 0.0000 0.5000 0.0000 1
Pa1 Pa 0.0000 0.0000 0.0000 1
Pa2 Pa 0.0000 0.0000 0.5000 1
Pa3 Pa 0.0000 0.5000 0.5000 1
P1 P 0.0000 0.0000 0.2485 1
P2 P 0.0005 0.5003 0.7503 1
# N(E_F), states/eV/cell: 41.9
# V, Å³ per atom: 22.2
# Energy of formation from the pure elements, meV/atom: -1422

=====

(6)
# DyPaP (PBE-GGA, optimized geometry)
data_DyPaP
_chemical_formula_sum 'Dy4 Pa4 P4'
_space_group_name_H-M_alt 'C m c m'
_space_group_IT_number 63
_space_group_name_Hall '-C 2c 2'
_cell_length_a 3.4331
_cell_length_b 23.9864
_cell_length_c 3.4304
_cell_angle_alpha 90.00
_cell_angle_beta 90.00
_cell_angle_gamma 90.00
loop_
_atom_site_label
_atom_site_type_symbol
_atom_site_fract_x
_atom_site_fract_y
_atom_site_fract_z
_atom_site_occupancy
Dy1 Dy 0.0000 0.1910 0.2500 1
Pa1 Pa 0.0000 0.0569 0.2500 1
P1 P 0.0000 0.3788 0.2500 1
# N(E_F), states/eV/cell: 17.1
# V, Å³ per atom: 23.5
# Energy of formation from the pure elements, meV/atom: -557
# Excess energy over the best structure of this formula in the dataset, meV per atom: 79

=====

(7)
# DyPa2P4 (PBE-GGA, optimized geometry)
data_DyPa2P4
_chemical_formula_sum 'Dy4 Pa8 P16'
_space_group_name_H-M_alt 'C m c m'
_space_group_IT_number 63
_space_group_name_Hall '-C 2c 2'
_cell_length_a 3.9474
_cell_length_b 13.2826
_cell_length_c 12.6621
_cell_angle_alpha 90.00
_cell_angle_beta 90.00
_cell_angle_gamma 90.00
loop_
_atom_site_label
_atom_site_type_symbol
_atom_site_fract_x
_atom_site_fract_y
_atom_site_fract_z
_atom_site_occupancy
Dy1 Dy 0.0000 0.1160 0.2500 1
Pa1 Pa 0.0000 0.3695 0.0666 1
P1 P 0.0000 0.0000 0.0000 1
P2 P 0.0000 0.2670 0.6247 1
P3 P 0.0000 0.4683 0.2500 1
# N(E_F), states/eV/cell: 8.9
# V, Å³ per atom: 23.7
# Energy of formation from the pure elements, meV/atom: -1056

=====

(8)
# Dy5PaP6 (PBE-GGA, optimized geometry)
data_Dy5PaP6
_chemical_formula_sum 'Dy10 Pa2 P12'
_space_group_name_H-M_alt 'C 1 2/m 1'
_space_group_IT_number 12
_cell_length_a 6.9178
_cell_length_b 11.9842
_cell_length_c 6.9148
_cell_angle_alpha 90.00
_cell_angle_beta 109.43
_cell_angle_gamma 90.00
loop_
_space_group_symop_operation_xyz
'x,y,z'
'-x,-y,-z'
'-x,y,-z'
'x,-y,z'
'x+1/2,y+1/2,z'
'-x+1/2,-y+1/2,-z'
'-x+1/2,y+1/2,-z'
'x+1/2,-y+1/2,z'
loop_
_atom_site_label
_atom_site_type_symbol
_atom_site_fract_x
_atom_site_fract_y
_atom_site_fract_z
_atom_site_occupancy
Dy1 Dy 0.0000 0.0000 0.0000 1
Dy2 Dy 0.0000 0.1664 0.5000 1
Dy3 Dy 0.0000 0.3318 0.0000 1
Pa1 Pa 0.0000 0.5000 0.5000 1
P1 P 0.2453 0.5000 0.2535 1
P2 P 0.2464 0.3360 0.7475 1
# N(E_F), states/eV/cell: 7.0
# V, Å³ per atom: 22.5
# Energy of formation from the pure elements, meV/atom: -1585